Compound: CeTh2V
Source: the Alexandria database
Functional: PBE-GGA
Structure: optimized geometry

extended XYZ file:
```
4
Lattice="1.671 0.965 11.367 -1.671 0.965 11.367 0.000 -1.929 11.367" Properties=species:S:1:pos:R:3 pbc="T T T"
Ce 0.000 0.000 0.000
Th 0.000 0.000 14.347
Th 0.000 0.000 19.753
V 0.000 0.000 17.050
```

Values from the calculation:
Space-group type   R-3m (166)
Relative energy among the computed polymorphs   440 meV/atom
E   -6.8486 eV/atom
Energy relative to the elements   0.624 eV/atom